Record 1
GGA-PBEsol Nb2CuSe4, optimized geometry; density = 6.735 Mg/m³; total DFT energy (no corrections) = -46.53 eV/f.u.; D(E_F) = 0.561 states/eV/atom
1.0
3.480 0.000 0.000
-1.740 3.014 0.000
0.000 0.000 13.284
Nb Cu Se
2 1 4
direct
0.000 0.000 0.000
0.333 0.667 0.521
0.000 0.000 0.224
0.000 0.000 0.397
0.000 0.000 0.644
0.333 0.667 0.126
0.333 0.667 0.876

Record 2
GGA-PBEsol Nb5Cu4Si4, optimized geometry; density = 7.499 Mg/m³; total DFT energy (no corrections) = -101.60 eV/f.u.; D(E_F) = 0.313 states/eV/atom
1.0
-5.072 5.072 1.788
5.072 -5.072 1.788
5.072 5.072 -1.788
Nb Cu Si
5 4 4
direct
0.000 0.000 0.000
0.304 0.371 0.675
0.371 0.696 0.067
0.629 0.304 0.933
0.696 0.629 0.325
0.103 0.581 0.684
0.419 0.103 0.522
0.581 0.897 0.478
0.897 0.419 0.316
0.059 0.253 0.312
0.253 0.941 0.195
0.747 0.059 0.805
0.941 0.747 0.688

Record 3
GGA-PBEsol TaNb2CuSn, optimized geometry; formation enthalpy at 0 K = 2.105 eV per atom; density = 7.472 Mg/m³; total DFT energy (no corrections) = -32.26 eV/f.u.; D(E_F) = 0.952 states/eV/atom
1.0
4.959 0.000 0.000
0.000 4.959 0.000
0.000 0.000 4.961
Ta Nb Cu Sn
1 2 1 1
direct
0.000 0.000 0.000
0.000 0.500 0.500
0.500 0.000 0.500
0.500 0.500 0.000
0.000 0.000 0.500

Record 4
GGA-PBEsol TiNb3Cu, optimized geometry; formation enthalpy at 0 K = 1.426 eV per atom; density = 6.687 Mg/m³; total DFT energy (no corrections) = -37.99 eV/f.u.; D(E_F) = 1.478 states/eV/atom
1.0
4.593 0.000 0.000
0.000 4.593 0.000
0.000 0.000 4.593
Ti Nb Cu
1 3 1
direct
0.000 0.000 0.000
0.000 0.000 0.500
0.000 0.500 0.000
0.500 0.000 0.000
0.500 0.500 0.500

Looking at magnetic moment for the records above, in order, we have 0.00 0.00 0.00 0.00 μB/cell.